(1)
The following is a DFT calculation (GGA-PBEsol) of a relaxed Dy2Al9Rh3 crystal.

Computed properties:
Total DFT energy (no corrections): -165.8 eV per cell
Energy relative to the elements: -0.8353 eV/atom
ρ: 6.38 g/cm³

```
28
Lattice="7.473 0.012 0.000 -3.674 6.508 0.000 0.000 0.000 9.377" Properties=species:S:1:pos:R:3 pbc="T T T"
Dy 1.372 6.480 2.344
Dy 2.428 0.040 7.033
Dy 4.962 4.388 2.344
Dy -1.162 2.132 7.033
Al 0.486 0.833 2.344
Al 3.314 5.687 7.033
Al 2.509 0.006 3.982
Al 1.291 6.514 5.395
Al 1.291 6.514 8.671
Al -1.232 2.185 0.707
Al 2.509 0.006 0.707
Al 5.031 4.335 8.671
Al 5.031 4.335 5.395
Al -1.232 2.185 3.982
Al 1.263 2.168 8.909
Al 2.536 4.353 0.468
Al 2.536 4.353 4.220
Al 1.263 2.168 5.157
Al 2.874 2.221 2.344
Al 0.926 4.299 7.033
Al 0.516 3.595 2.344
Al 3.284 2.925 7.033
Rh -0.018 4.377 4.689
Rh 3.817 2.143 4.689
Rh 3.817 2.143 0.000
Rh -0.018 4.377 0.000
Rh 0.000 0.000 4.689
Rh 0.000 0.000 0.000
```

---

(2)
The following is a DFT calculation (GGA-PBEsol) of a relaxed Dy3Al12Ru4 crystal.

Computed properties:
Total DFT energy (no corrections): -234.1 eV per cell
Energy relative to the elements: -0.6478 eV/atom
ρ: 6.46 g/cm³

```
38
Lattice="-7.860 1.841 3.300 3.637 -7.786 1.483 4.096 3.409 7.854" Properties=species:S:1:pos:R:3 pbc="T T T"
Dy 2.440 -5.074 3.798
Dy -0.865 -4.300 5.185
Dy 0.911 -1.800 3.174
Dy -2.567 2.539 8.839
Dy 0.738 1.764 7.451
Dy -1.038 -0.736 9.463
Al -1.788 -1.533 4.466
Al -4.281 -0.949 5.512
Al -2.942 0.936 3.995
Al 1.661 -1.002 8.171
Al 4.154 -1.586 7.124
Al 2.814 -3.472 8.641
Al -3.813 -3.452 4.368
Al -5.677 0.539 3.607
Al -1.649 -0.405 1.916
Al 3.686 0.917 8.269
Al 5.550 -3.075 9.029
Al 1.521 -2.131 10.720
Al 2.267 -0.265 5.548
Al 4.131 -4.256 6.308
Al 0.102 -3.312 7.999
Al -2.394 -2.271 7.089
Al -4.258 1.720 6.328
Al -0.230 0.776 4.637
Al 0.001 1.985 10.418
Al -0.128 -4.521 2.218
Al 1.785 -2.929 5.886
Al -1.912 0.393 6.751
Al 1.024 0.852 1.963
Al 3.072 2.557 5.890
Ru 0.000 0.000 0.000
Ru 2.048 1.705 3.927
Ru -2.111 -2.972 2.391
Ru 1.818 -3.893 0.742
Ru -3.930 0.921 1.650
Ru -0.064 -1.268 6.318
Ru 3.866 -2.189 4.668
Ru -1.882 2.625 5.577
```

---

(3)
The following is a DFT calculation (GGA-PBEsol) of a relaxed Dy2Al3Si2 crystal.

Computed properties:
Total DFT energy (no corrections): -37.9 eV per cell
ρ: 5.91 g/cm³
Raw formation energy: -0.60 eV per atom

```
7
Lattice="4.017 0.000 0.000 -2.009 5.034 0.013 0.000 -1.252 6.416" Properties=species:S:1:pos:R:3 pbc="T T T"
Si 2.009 3.017 5.529
Si 0.000 0.764 0.900
Al 2.009 1.502 2.357
Al 0.000 -0.626 3.208
Al 0.000 2.280 4.072
Dy 0.000 3.612 1.147
Dy 2.009 0.169 5.283
```